A) ## Ca2PrPd2 (PBE-GGA)

Data for crystalline Ca2PrPd2 at its relaxed geometry.

abc: 4.2631 27.2263 4.5128
angles: 90.00 90.00 90.00
Space group Cmcm (No. 63)
One atom of each set of equivalent atoms:
Ca 0.0000 0.0519 0.2500
Ca 0.0000 0.2504 0.7500
Pr 0.0000 0.3632 0.2500
Pd 0.0000 0.1704 0.2500
Pd 0.0000 0.4685 0.2500

***

B) ## Ca2PrPd2 (PBE-GGA)

Data for crystalline Ca2PrPd2 at its relaxed geometry.

abc: 5.7777 4.4939 10.9860
angles: 90.00 96.57 90.00
Space group P2_1/m (No. 11)
One atom of each set of equivalent atoms:
Ca 0.1098 0.2500 0.3800
Ca 0.2481 0.2500 0.0373
Pr 0.4037 0.2500 0.7120
Pd 0.2340 0.7500 0.8555
Pd 0.3621 0.7500 0.5281

***

Which structure wins on stability? B) wins.

***

A) ## CaPr2Pd2 (PBE-GGA)

Data for crystalline CaPr2Pd2 at its relaxed geometry.

abc: 5.1073 7.9945 7.9991
angles: 67.05 71.49 71.50
Space group P-1 (No. 2)
One atom of each set of equivalent atoms:
Ca 0.2494 0.2504 0.2507
Pr 0.0885 0.7450 0.0780
Pr 0.4121 0.7553 0.4208
Pd 0.1581 0.0087 0.6750
Pd 0.3416 0.4913 0.8250

***

B) ## CaPr2Pd2 (PBE-GGA)

Data for crystalline CaPr2Pd2 at its relaxed geometry.

abc: 8.0365 8.0365 4.1274
angles: 90.00 90.00 90.00
Space group P4/mbm (No. 127)
One atom of each set of equivalent atoms:
Ca 0.0000 0.0000 0.0000
Pr 0.1641 0.3359 0.5000
Pd 0.1303 0.6303 0.0000

***

Which structure wins on stability? B) wins.

***

A) ## CaPr2Pd (PBE-GGA)

Data for crystalline CaPr2Pd at its relaxed geometry.

abc: 4.0610 4.0610 29.6849
angles: 90.00 90.00 120.00
Space group R3m (No. 160, hexagonal axes)
One atom of each set of equivalent atoms:
Ca 0.0000 0.0000 0.0000
Pr 0.0000 0.0000 0.5577
Pr 0.0000 0.0000 0.7734
Pd 0.0000 0.0000 0.1654

***

B) ## CaPr2Pd (PBE-GGA)

Data for crystalline CaPr2Pd at its relaxed geometry.

abc: 4.0817 12.5128 9.7663
angles: 90.00 90.00 90.00
Space group Cmcm (No. 63)
One atom of each set of equivalent atoms:
Ca 0.0000 0.0717 0.2500
Pr 0.0000 0.3592 0.0592
Pd 0.0000 0.2324 0.7500

***

Which structure wins on stability? B) wins.

***

A) ## CaPr2Pd (PBE-GGA)

Data for crystalline CaPr2Pd at its relaxed geometry.

abc: 7.4815 10.2249 6.5526
angles: 90.00 90.00 90.00
Space group Pnma (No. 62)
One atom of each set of equivalent atoms:
Ca 0.0328 0.2500 0.1407
Pr 0.1753 0.0607 0.6690
Pd 0.1138 0.7500 0.4190

***

B) ## CaPr2Pd (PBE-GGA)

Data for crystalline CaPr2Pd at its relaxed geometry.

abc: 4.0063 4.0063 30.1030
angles: 90.00 90.00 120.00
Space group R-3m (No. 166, hexagonal axes)
One atom of each set of equivalent atoms:
Ca 0.0000 0.0000 0.0000
Pr 0.0000 0.0000 0.2264
Pd 0.0000 0.0000 0.5000

***

Which structure wins on stability? A) wins.

***

A) ## CaPrPd6 (PBE-GGA)

Data for crystalline CaPrPd6 at its relaxed geometry.

abc: 5.3392 5.3392 5.3392
angles: 90.00 90.00 90.00
Space group Pm-3 (No. 200)
One atom of each set of equivalent atoms:
Ca 0.0000 0.0000 0.0000
Pr 0.5000 0.5000 0.5000
Pd 0.0000 0.2483 0.5000

***

B) ## CaPrPd6 (PBE-GGA)

Data for crystalline CaPrPd6 at its relaxed geometry.

abc: 5.9877 5.9877 4.7468
angles: 90.00 90.00 120.00
Space group P-6m2 (No. 187)
One atom of each set of equivalent atoms:
Ca 0.0000 0.0000 0.0000
Pr 0.6667 0.3333 0.5000
Pd 0.0176 0.5088 0.0000
Pd 0.1729 0.3459 0.5000

***

Which structure wins on stability? B) wins.

***

A) ## CaPrPdPt (PBE-GGA)

Data for crystalline CaPrPdPt at its relaxed geometry.

abc: 7.1508 7.1508 7.1508
angles: 90.00 90.00 90.00
Space group F-43m (No. 216)
One atom of each set of equivalent atoms:
Ca 0.0000 0.0000 0.0000
Pr 0.0000 0.0000 0.5000
Pd 0.2500 0.2500 0.7500
Pt 0.2500 0.2500 0.2500

***

B) ## CaPrPdPt (PBE-GGA)

Data for crystalline CaPrPdPt at its relaxed geometry.

abc: 4.5179 3.9638 10.8141
angles: 90.00 90.00 90.00
Space group Amm2 (No. 38)
One atom of each set of equivalent atoms:
Ca 0.0000 0.0000 0.0000
Pr 0.5000 0.0000 0.7217
Pd 0.0000 0.0000 0.2807
Pt 0.5000 0.0000 0.4428

***

Which structure wins on stability? B) wins.

***

A) ## CaPrZnPd (PBE-GGA)

Data for crystalline CaPrZnPd at its relaxed geometry.

abc: 4.3678 4.1040 11.3741
angles: 90.00 90.00 90.00
Space group Amm2 (No. 38)
One atom of each set of equivalent atoms:
Ca 0.0000 0.0000 0.0000
Pr 0.5000 0.0000 0.7173
Zn 0.5000 0.0000 0.4287
Pd 0.0000 0.0000 0.2860

***

B) ## CaPrZnPd (PBE-GGA)

Data for crystalline CaPrZnPd at its relaxed geometry.

abc: 7.2648 7.2648 7.2648
angles: 90.00 90.00 90.00
Space group F-43m (No. 216)
One atom of each set of equivalent atoms:
Ca 0.0000 0.0000 0.0000
Pr 0.0000 0.0000 0.5000
Zn 0.2500 0.2500 0.2500
Pd 0.2500 0.2500 0.7500

***

Which structure wins on stability? A) wins.

***

A) ## CaPd2Pt (PBE-GGA)

Data for crystalline CaPd2Pt at its relaxed geometry.

abc: 5.5649 8.8834 7.9316
angles: 90.00 90.00 90.00
Space group Pmma (No. 51)
One atom of each set of equivalent atoms:
Ca 0.2500 0.0000 0.1666
Ca 0.2500 0.5000 0.3323
Pd 0.0000 0.0000 0.5000
Pd 0.0000 0.5000 0.0000
Pd 0.2500 0.2539 0.9130
Pt 0.2500 0.0000 0.7731
Pt 0.2500 0.5000 0.7025

***

B) ## CaPd2Pt (PBE-GGA)

Data for crystalline CaPd2Pt at its relaxed geometry.

abc: 4.0244 4.0244 19.1449
angles: 90.00 90.00 90.00
Space group I-42d (No. 122)
One atom of each set of equivalent atoms:
Ca 0.0000 0.0000 0.0000
Pd 0.2256 0.2500 0.6250
Pt 0.0000 0.0000 0.5000

***

Which structure wins on stability? B) wins.

***

A) ## CaPd2Pt (PBE-GGA)

Data for crystalline CaPd2Pt at its relaxed geometry.

abc: 4.1708 4.1708 4.0163
angles: 90.00 90.00 90.00
Space group P4/mmm (No. 123)
One atom of each set of equivalent atoms:
Ca 0.0000 0.0000 0.0000
Pd 0.0000 0.5000 0.5000
Pt 0.5000 0.5000 0.0000

***

B) ## CaPd2Pt (PBE-GGA)

Data for crystalline CaPd2Pt at its relaxed geometry.

abc: 6.5730 6.5730 6.5730
angles: 90.00 90.00 90.00
Space group Fm-3m (No. 225)
One atom of each set of equivalent atoms:
Ca 0.0000 0.0000 0.0000
Pd 0.2500 0.2500 0.2500
Pt 0.0000 0.0000 0.5000

***

Which structure wins on stability? A) wins.

***

A) ## Ca6Pd2Pt (PBE-GGA)

Data for crystalline Ca6Pd2Pt at its relaxed geometry.

abc: 9.4736 9.9057 10.5832
angles: 90.00 90.00 90.00
Space group Immm (No. 71)
One atom of each set of equivalent atoms:
Ca 0.0000 0.1841 0.2492
Ca 0.1876 0.5000 0.1572
Ca 0.2231 0.3285 0.5000
Pd 0.0000 0.3127 0.0000
Pd 0.0000 0.5000 0.3700
Pt 0.0000 0.0000 0.0000
Pt 0.0000 0.0000 0.5000

***

B) ## Ca6Pd2Pt (PBE-GGA)

Data for crystalline Ca6Pd2Pt at its relaxed geometry.

abc: 6.7933 7.7793 12.0638
angles: 90.00 123.67 90.00
Space group P2_1/c (No. 14)
One atom of each set of equivalent atoms:
Ca 0.0934 0.0470 0.2450
Ca 0.2292 0.6711 0.0722
Ca 0.4029 0.1769 0.0653
Pd 0.3091 0.1180 0.7608
Pt 0.5000 0.0000 0.5000

***

Which structure wins on stability? B) wins.

***

A) ## CaPuPdPt (PBE-GGA)

Data for crystalline CaPuPdPt at its relaxed geometry.

abc: 7.0310 7.0310 7.0310
angles: 90.00 90.00 90.00
Space group F-43m (No. 216)
One atom of each set of equivalent atoms:
Ca 0.0000 0.0000 0.0000
Pu 0.0000 0.0000 0.5000
Pd 0.2500 0.2500 0.2500
Pt 0.2500 0.2500 0.7500

***

B) ## CaPuPdPt (PBE-GGA)

Data for crystalline CaPuPdPt at its relaxed geometry.

abc: 3.4953 3.4953 7.1630
angles: 90.00 90.00 90.00
Space group P4mm (No. 99)
One atom of each set of equivalent atoms:
Ca 0.0000 0.0000 0.0000
Pu 0.0000 0.0000 0.5088
Pd 0.5000 0.5000 0.2624
Pt 0.5000 0.5000 0.7397

***

Which structure wins on stability? B) wins.

***

A) ## CaSmPdPt (PBE-GGA)

Data for crystalline CaSmPdPt at its relaxed geometry.

abc: 7.0654 7.0654 7.0654
angles: 90.00 90.00 90.00
Space group F-43m (No. 216)
One atom of each set of equivalent atoms:
Ca 0.0000 0.0000 0.0000
Sm 0.0000 0.0000 0.5000
Pd 0.2500 0.2500 0.7500
Pt 0.2500 0.2500 0.2500

***

B) ## CaSmPdPt (PBE-GGA)

Data for crystalline CaSmPdPt at its relaxed geometry.

abc: 4.5078 3.9032 10.6800
angles: 90.00 90.00 90.00
Space group Amm2 (No. 38)
One atom of each set of equivalent atoms:
Ca 0.0000 0.0000 0.0000
Sm 0.5000 0.0000 0.7223
Pd 0.0000 0.0000 0.2779
Pt 0.5000 0.0000 0.4414

***

Which structure wins on stability? B) wins.